Compound: Pm5Y4Ho3
Source: Alexandria
Functional: PBE
Structure: relaxed

abc: 6.369 6.369 13.182
angles: 103.11 103.11 50.84
Fractional positions:
Pm 0.000 0.000 0.000
Pm 0.140 0.140 0.466
Pm 0.329 0.329 0.736
Pm 0.671 0.671 0.264
Pm 0.860 0.860 0.534
Y 0.268 0.268 0.104
Y 0.411 0.411 0.371
Y 0.589 0.589 0.629
Y 0.732 0.732 0.896
Ho 0.044 0.044 0.781
Ho 0.500 0.500 0.000
Ho 0.956 0.956 0.219

Properties
E_form, kJ/mol of atoms: 22
Energy, eV/atom: -5.055